[1]
A relaxed AgPdPt crystal. Source: the Alexandria database, functional PBE-GGA.

Lattice parameters (Å, degrees): 2.805 2.805 7.099 90.00 90.00 120.00
Positions (direct):
Pt: 0.333 0.667 0.663
Pd: 0.667 0.333 0.335
Ag: 0.000 0.000 0.002

V: 16.1 Å³/atom
DFT formation energy: -0.06 eV per formula unit
Space-group type: P3m1 (156)
Spin magnetization: 0.00 μB/f.u.
DOS at the Fermi energy: 1.1222 states/eV/atom



[2]
A relaxed CaTlH crystal. Source: the Alexandria database, functional PBE-GGA.

Lattice parameters (Å, degrees): 3.276 3.276 6.590 104.39 104.39 90.00
Positions (direct):
Tl: 0.005 0.005 0.010
Ca: 0.738 0.738 0.476
H: 0.257 0.257 0.515

V: 22.1 Å³/atom
Space-group type: I4mm (107)
Spin magnetization: 0.00 μB/f.u.
DOS at the Fermi energy: 0.5839 states/eV/atom



[3]
A relaxed ThMgAu crystal. Source: the Alexandria database, functional PBE-GGA.

Lattice parameters (Å, degrees): 4.084 5.964 6.955 75.16 72.93 69.98
Positions (direct):
Au: 0.851 0.115 0.183
Au: 0.149 0.885 0.817
Mg: 0.172 0.223 0.432
Th: 0.577 0.677 0.170
Th: 0.423 0.323 0.830
Mg: 0.828 0.777 0.568

V: 25.0 Å³/atom
DFT formation energy: -1.25 eV per formula unit
Space-group type: C2/m (12)
Spin magnetization: 0.00 μB/f.u.
DOS at the Fermi energy: 0.9633 states/eV/atom



no.,DFT total energy (eV/f.u.)
1,-14.14
2,-8.23
3,-13.54